[1]
VASP calculation (PBE) on an optimized crystal structure of Ag2AuCl6.

It has space group C2/c (No. 15), with a = 12.4229 Å, b = 10.1916 Å, c = 8.9219 Å, α = 90.00°, β = 96.88° and γ = 90.00°. The asymmetric unit holds Ag at (0.1988, 0.0000, 0.2779), Au at (0.0000, 0.4990, 0.2500), Cl at (0.1213, 0.0005, 0.5144), Cl at (0.1238, 0.3387, 0.2012) and Cl at (0.1236, 0.3405, 0.7008).

As for the formation energy from raw total energies: -2.723 eV per formula unit. As for the density: 3.70 g/cm³. The energy above the most stable polymorph in this dataset comes out at 43 meV per atom.

---

[2]
VASP calculation (PBE) on an optimized crystal structure of AgAuCl2.

It has space group Cm (No. 8), with a = 12.1377 Å, b = 3.9448 Å, c = 3.6072 Å, α = 90.00°, β = 90.06° and γ = 90.00°. The asymmetric unit holds Ag at (0.0000, 0.0000, 0.0000), Au at (0.1955, 0.0000, 0.5023), Cl at (0.2031, 0.5000, 0.0023) and Cl at (0.4335, 0.0000, 0.4998).

As for the formation energy from raw total energies: -0.535 eV per formula unit. As for the density: 7.22 g/cm³. The energy above the most stable polymorph in this dataset comes out at 172 meV per atom.